Mg5ZnIn6 (PBE, optimized geometry); calculated formation energy = -5.82 kJ/mol of atoms; SG = C2/m, No. 12; volume = 22.97 A^3/atom
1.0
4.471 0.018 -1.300
-1.192 7.675 -4.000
0.021 -0.611 8.368
Mg Zn In
5 1 6
direct
0.659 0.158 0.315 Mg
0.332 0.330 0.660 Mg
0.000 0.500 0.000 Mg
0.668 0.670 0.340 Mg
0.341 0.842 0.685 Mg
0.000 0.000 0.000 Zn
0.834 0.585 0.669 In
0.834 0.084 0.669 In
0.500 0.746 0.000 In
0.500 0.254 0.000 In
0.166 0.916 0.331 In
0.166 0.415 0.331 In

***

MgZnIn2 (PBE, optimized geometry); E above lowest polymorph = 73 meV per atom; calculated formation energy = 6.54 kJ/mol of atoms; SG = F-43m, No. 216; volume = 22.88 A^3/atom
1.0
-3.570 -1.684 3.163
-0.659 -4.972 0.653
1.317 -2.173 4.374
In Mg Zn
2 1 1
direct
0.000 0.000 0.000 In
0.750 0.750 0.750 In
0.500 0.500 0.500 Mg
0.250 0.250 0.250 Zn

***

MgZnIn2 (PBE, optimized geometry); E above lowest polymorph = 9 meV per atom; calculated formation energy = 0.41 kJ/mol of atoms; SG = P4/mmm, No. 123; volume = 22.28 A^3/atom
1.0
4.600 0.000 0.000
0.000 4.602 0.000
0.000 0.000 4.210
Zn Mg In
1 1 2
direct
0.000 0.500 0.500 Zn
0.500 0.000 0.500 Mg
0.000 0.000 0.000 In
0.500 0.500 0.000 In

***

MgZnIn2 (PBE, optimized geometry); E above lowest polymorph = 11 meV per atom; calculated formation energy = 0.54 kJ/mol of atoms; SG = Immm, No. 71; volume = 22.15 A^3/atom
1.0
5.454 -0.015 -0.066
1.817 5.142 0.066
-3.593 -2.623 3.155
Zn Mg In
1 1 2
direct
0.250 0.750 0.500 Zn
0.750 0.250 0.500 Mg
0.000 0.000 0.000 In
0.500 0.500 0.000 In

***

Mg2ZnIn3 (PBE, optimized geometry); calculated formation energy = -1.37 kJ/mol of atoms; SG = Pmm2, No. 25; volume = 23.24 A^3/atom
1.0
3.157 0.000 0.000
0.000 4.489 0.000
0.000 0.000 9.837
Mg Zn In
2 1 3
direct
0.000 0.500 0.018 Mg
0.000 0.000 0.470 Mg
0.500 0.500 0.347 Zn
0.500 0.000 0.849 In
0.500 0.000 0.179 In
0.500 0.500 0.637 In

***

Mg12Zn2In5 (PBE, optimized geometry); calculated formation energy = -2.62 kJ/mol of atoms; SG = C2/m, No. 12; volume = 22.81 A^3/atom
1.0
9.064 0.000 0.000
-4.532 6.278 1.024
0.000 -1.052 7.446
Mg Zn In
12 2 5
direct
0.899 0.797 0.109 Mg
0.039 0.693 0.769 Mg
0.653 0.693 0.769 Mg
0.170 0.784 0.367 Mg
0.614 0.784 0.367 Mg
0.449 0.898 0.721 Mg
0.551 0.102 0.279 Mg
0.830 0.216 0.633 Mg
0.386 0.216 0.633 Mg
0.961 0.307 0.231 Mg
0.347 0.307 0.231 Mg
0.101 0.203 0.891 Mg
0.719 0.000 0.000 Zn
0.281 0.000 0.000 Zn
0.244 0.487 0.559 In
0.327 0.655 0.071 In
0.000 0.000 0.500 In
0.673 0.345 0.929 In
0.756 0.513 0.441 In

***

MgZnIn2 (PBE, optimized geometry); E above lowest polymorph = 21 meV per atom; calculated formation energy = 1.50 kJ/mol of atoms; SG = P2/m, No. 10; volume = 22.31 A^3/atom
1.0
4.230 0.000 0.000
0.000 3.200 0.047
0.000 2.668 6.631
Zn Mg In
1 1 2
direct
0.500 0.750 0.750 Zn
0.500 0.250 0.250 Mg
0.000 0.983 0.990 In
0.000 0.517 0.510 In

***

MgZnIn2 (PBE, optimized geometry); E above lowest polymorph = 8 meV per atom; calculated formation energy = 0.25 kJ/mol of atoms; SG = R3m, No. 160; volume = 22.69 A^3/atom
1.0
-1.706 -8.880 -3.254
1.327 -8.363 -4.545
1.013 -9.452 -1.407
Zn Mg In
1 1 2
direct
0.752 0.752 0.752 Zn
0.493 0.493 0.493 Mg
0.008 0.008 0.008 In
0.247 0.247 0.247 In

***

Mg6ZnIn2 (PBE, optimized geometry); E above lowest polymorph = 33 meV per atom; calculated formation energy = -5.14 kJ/mol of atoms; SG = Pnnm, No. 58; volume = 21.99 A^3/atom
1.0
4.392 0.000 -0.440
0.000 9.471 0.000
0.943 0.000 9.421
Mg Zn In
12 2 4
direct
0.000 0.008 0.173 Mg
0.000 0.673 0.509 Mg
0.000 0.647 0.854 Mg
0.500 0.147 0.646 Mg
0.500 0.173 0.991 Mg
0.500 0.508 0.327 Mg
0.000 0.992 0.827 Mg
0.000 0.327 0.491 Mg
0.000 0.353 0.146 Mg
0.500 0.853 0.354 Mg
0.500 0.827 0.009 Mg
0.500 0.492 0.673 Mg
0.500 0.500 0.000 Zn
0.000 0.000 0.500 Zn
0.000 0.321 0.820 In
0.500 0.821 0.680 In
0.500 0.179 0.320 In
0.000 0.679 0.180 In

***

Mg5ZnIn4 (PBE, optimized geometry); calculated formation energy = -7.11 kJ/mol of atoms; SG = P4/mmm, No. 123; volume = 22.48 A^3/atom
1.0
3.467 0.000 0.000
0.000 3.467 0.000
0.000 0.000 18.697
Mg Zn In
5 1 4
direct
0.500 0.500 0.083 Mg
0.500 0.500 0.289 Mg
0.500 0.500 0.500 Mg
0.500 0.500 0.711 Mg
0.500 0.500 0.917 Mg
0.000 0.000 0.000 Zn
0.000 0.000 0.185 In
0.000 0.000 0.395 In
0.000 0.000 0.605 In
0.000 0.000 0.815 In

***

Mg9ZnIn2 (PBE, optimized geometry); calculated formation energy = -6.20 kJ/mol of atoms; SG = P4/mmm, No. 123; volume = 21.92 A^3/atom
1.0
-0.972 0.197 4.333
-0.145 -4.440 0.170
12.982 -0.313 2.927
Mg Zn In
9 1 2
direct
0.500 0.500 0.000 Mg
0.500 0.500 0.329 Mg
0.500 0.500 0.671 Mg
0.500 0.000 0.158 Mg
0.500 0.000 0.500 Mg
0.500 0.000 0.842 Mg
0.000 0.500 0.158 Mg
0.000 0.500 0.500 Mg
0.000 0.500 0.842 Mg
0.000 0.000 0.000 Zn
0.000 0.000 0.329 In
0.000 0.000 0.671 In

***

Mg3ZnIn (PBE, optimized geometry); E above lowest polymorph = 453 meV per atom; calculated formation energy = 38.00 kJ/mol of atoms; SG = Pm-3m, No. 221; volume = 30.72 A^3/atom
1.0
-2.418 -4.191 2.294
4.535 -2.824 -0.379
1.507 1.771 4.824
Zn Mg In
1 3 1
direct
0.500 0.500 0.500 Zn
0.000 0.500 0.000 Mg
0.000 0.000 0.500 Mg
0.500 0.000 0.000 Mg
0.000 0.000 0.000 In